VASP calculation (meta-GGA SCAN) on Sc2AlBr at its PBEsol-relaxed geometry. Values from VASP.

Total moment in Bohr magnetons per cell: 0.00
Offset from the most stable computed form in meV per atom: 0
Energy relative to the elements, uncorrected in eV per atom: -0.698
SG: Pmmm (47)

```
&SYSTEM
  ibrav = 0, nat = 4, ntyp = 3
/
ATOMIC_SPECIES
Sc 44.96 Sc.upf
Al 26.98 Al.upf
Br 79.90 Br.upf
CELL_PARAMETERS angstrom
3.2672 0.0000 0.0000
0.0000 3.3703 0.0000
0.0000 0.0000 7.8933
ATOMIC_POSITIONS angstrom
Sc 0.0000 0.0000 1.7089
Sc 0.0000 0.0000 6.1844
Al 1.6336 1.6852 0.0000
Br 1.6336 0.0000 3.9467
```